1.
Computed, not measured: an optimized crystal structure of AcLaDy3Er at the PBE level of DFT.

* crystal system: monoclinic
* calculated density: 8.02 g/cm³
* DFT formation energy: 0.214 eV/atom
* total moment: 0.00 μB per formula unit

a = 10.135 Å, b = 10.135 Å, c = 7.596 Å
α = 91.48°, β = 91.48°, γ = 32.83°
Fractional coordinates of all 12 atoms:
Ac: 0.142 0.142 0.024
Ac: 0.858 0.858 0.976
La: 0.454 0.454 0.722
La: 0.546 0.546 0.278
Dy: 0.024 0.024 0.705
Dy: 0.281 0.281 0.753
Dy: 0.333 0.333 0.283
Dy: 0.667 0.667 0.717
Dy: 0.719 0.719 0.247
Dy: 0.976 0.976 0.295
Er: 0.154 0.154 0.455
Er: 0.846 0.846 0.545



2.
Computed, not measured: an optimized crystal structure of AcLa2Dy2Er2 at the PBE level of DFT.

* crystal system: monoclinic
* calculated density: 7.97 g/cm³
* DFT formation energy: 0.049 eV/atom
* total moment: 0.00 μB per formula unit

a = 11.614 Å, b = 5.195 Å, c = 8.133 Å
α = 90.00°, β = 98.54°, γ = 90.00°
Fractional coordinates of all 14 atoms:
Ac: 0.000 0.000 0.000
Ac: 0.500 0.500 0.000
La: 0.215 0.500 0.152
La: 0.285 0.000 0.848
La: 0.715 0.000 0.152
La: 0.785 0.500 0.848
Dy: 0.075 0.500 0.703
Dy: 0.425 0.000 0.297
Dy: 0.575 0.000 0.703
Dy: 0.925 0.500 0.297
Er: 0.141 0.000 0.432
Er: 0.359 0.500 0.568
Er: 0.641 0.500 0.432
Er: 0.859 0.000 0.568



3.
Computed, not measured: an optimized crystal structure of AcLa4Dy2Er at the PBE level of DFT.

* crystal system: monoclinic
* calculated density: 7.40 g/cm³
* DFT formation energy: 0.036 eV/atom
* total moment: 0.00 μB per formula unit

a = 11.601 Å, b = 5.252 Å, c = 10.534 Å
α = 90.00°, β = 117.02°, γ = 90.00°
Fractional coordinates of all 16 atoms:
Ac: 0.000 0.000 0.000
Ac: 0.500 0.500 0.000
La: 0.246 0.000 0.869
La: 0.248 0.500 0.622
La: 0.252 0.000 0.378
La: 0.254 0.500 0.131
La: 0.746 0.500 0.869
La: 0.748 0.000 0.622
La: 0.752 0.500 0.378
La: 0.754 0.000 0.131
Dy: 0.001 0.500 0.744
Dy: 0.499 0.000 0.256
Dy: 0.501 0.000 0.744
Dy: 0.999 0.500 0.256
Er: 0.000 0.000 0.500
Er: 0.500 0.500 0.500



4.
Computed, not measured: an optimized crystal structure of LiAcDyEr at the PBE level of DFT.

* crystal system: cubic
* calculated density: 7.24 g/cm³
* DFT formation energy: 0.173 eV/atom
* total moment: 0.00 μB per formula unit

a = 8.027 Å, b = 8.027 Å, c = 8.027 Å
α = 90.00°, β = 90.00°, γ = 90.00°
Fractional coordinates of all 16 atoms:
Li: 0.000 0.000 0.000
Li: 0.000 0.500 0.500
Li: 0.500 0.000 0.500
Li: 0.500 0.500 0.000
Ac: 0.250 0.250 0.750
Ac: 0.250 0.750 0.250
Ac: 0.750 0.250 0.250
Ac: 0.750 0.750 0.750
Dy: 0.250 0.250 0.250
Dy: 0.250 0.750 0.750
Dy: 0.750 0.250 0.750
Dy: 0.750 0.750 0.250
Er: 0.000 0.000 0.500
Er: 0.000 0.500 0.000
Er: 0.500 0.000 0.000
Er: 0.500 0.500 0.500



5.
Computed, not measured: an optimized crystal structure of AcNdDy3Er at the PBE level of DFT.

* crystal system: monoclinic
* calculated density: 8.10 g/cm³
* DFT formation energy: 0.227 eV/atom
* total moment: 0.00 μB per formula unit

a = 10.142 Å, b = 10.142 Å, c = 7.587 Å
α = 91.21°, β = 91.21°, γ = 32.64°
Fractional coordinates of all 12 atoms:
Ac: 0.141 0.141 0.024
Ac: 0.859 0.859 0.976
Nd: 0.451 0.451 0.712
Nd: 0.549 0.549 0.288
Dy: 0.024 0.024 0.705
Dy: 0.281 0.281 0.751
Dy: 0.334 0.334 0.287
Dy: 0.666 0.666 0.713
Dy: 0.719 0.719 0.249
Dy: 0.976 0.976 0.295
Er: 0.154 0.154 0.453
Er: 0.846 0.846 0.547



6.
Computed, not measured: an optimized crystal structure of AcNd2Dy4Er at the PBE level of DFT.

* crystal system: orthorhombic
* calculated density: 7.94 g/cm³
* DFT formation energy: 0.425 eV/atom
* total moment: 1.24 μB per formula unit

a = 9.646 Å, b = 9.646 Å, c = 9.646 Å
α = 137.95°, β = 103.33°, γ = 91.54°
Fractional coordinates of all 16 atoms:
Ac: 0.000 0.000 0.000
Ac: 0.500 0.000 0.500
Nd: 0.000 0.500 0.500
Nd: 0.500 0.000 0.000
Nd: 0.500 0.500 0.000
Nd: 0.500 0.500 0.500
Dy: 0.236 0.742 0.494
Dy: 0.244 0.256 0.512
Dy: 0.244 0.731 0.988
Dy: 0.253 0.258 0.994
Dy: 0.747 0.742 0.006
Dy: 0.756 0.269 0.012
Dy: 0.756 0.744 0.488
Dy: 0.764 0.258 0.506
Er: 0.000 0.000 0.500
Er: 0.000 0.500 0.000



7.
Computed, not measured: an optimized crystal structure of AcNdDy2Er at the PBE level of DFT.

* crystal system: orthorhombic
* calculated density: 7.77 g/cm³
* DFT formation energy: 0.389 eV/atom
* total moment: 0.00 μB per formula unit

a = 9.385 Å, b = 9.385 Å, c = 6.470 Å
α = 90.00°, β = 90.00°, γ = 139.61°
Fractional coordinates of all 10 atoms:
Ac: 0.159 0.841 0.750
Ac: 0.841 0.159 0.250
Nd: 0.347 0.653 0.750
Nd: 0.653 0.347 0.250
Dy: 0.252 0.252 0.000
Dy: 0.252 0.252 0.500
Dy: 0.748 0.748 0.000
Dy: 0.748 0.748 0.500
Er: 0.251 0.749 0.250
Er: 0.749 0.251 0.750



8.
Computed, not measured: an optimized crystal structure of AcNd2Dy2Er2 at the PBE level of DFT.

* crystal system: monoclinic
* calculated density: 8.19 g/cm³
* DFT formation energy: 0.043 eV/atom
* total moment: 0.00 μB per formula unit

a = 11.531 Å, b = 5.145 Å, c = 8.123 Å
α = 90.00°, β = 98.42°, γ = 90.00°
Fractional coordinates of all 14 atoms:
Ac: 0.000 0.000 0.000
Ac: 0.500 0.500 0.000
Nd: 0.215 0.500 0.152
Nd: 0.285 0.000 0.848
Nd: 0.715 0.000 0.152
Nd: 0.785 0.500 0.848
Dy: 0.074 0.500 0.705
Dy: 0.426 0.000 0.295
Dy: 0.574 0.000 0.705
Dy: 0.926 0.500 0.295
Er: 0.142 0.000 0.433
Er: 0.358 0.500 0.567
Er: 0.642 0.500 0.433
Er: 0.858 0.000 0.567